1.
Compound: K2NbCl6
Source: the Alexandria database
Functional: meta-GGA SCAN
Structure: single point on PBEsol structure

Geometry as extended XYZ:
```
18
Lattice="-5.758 -2.394 -2.796 2.992 -6.068 -0.967 -3.192 -3.036 9.172" Properties=species:S:1:pos:R:3 pbc="T T T"
Cl -0.950 -7.010 2.993
Cl -2.460 -6.230 -2.918
Cl -0.761 -0.724 2.187
Cl -2.218 -5.025 0.517
Cl -0.306 -2.232 -0.845
Cl 0.728 -5.527 -1.576
Cl -1.928 -3.829 3.705
Cl -3.740 -6.473 4.891
Cl -4.030 -7.668 1.703
Cl -3.494 -2.935 -2.187
Cl -2.431 -2.312 6.985
Cl -5.008 -4.487 2.416
Nb 0.000 0.000 0.000
Nb -2.979 -5.749 2.704
K -0.898 -5.311 6.395
K -3.677 -1.956 0.895
K 0.698 -3.793 1.809
K -5.273 -3.474 5.481
```

Computed properties:
Raw total energy ... -12.6474 eV per atom
Formation energy without anion corrections ... -1796.9 meV per atom
D(E_F) ... 9.64 states/eV per cell

***

2.
Compound: MnCo2Rh
Source: the Alexandria database
Functional: meta-GGA SCAN
Structure: single point on PBEsol structure

Geometry as extended XYZ:
```
4
Lattice="-0.770 -2.021 1.311 2.233 -0.320 -1.143 3.766 2.826 6.569" Properties=species:S:1:pos:R:3 pbc="T T T"
Co 3.716 2.789 6.482
Co 3.558 0.950 5.013
Mn 1.926 1.445 3.359
Rh 1.679 -0.459 1.737
```

Computed properties:
Raw total energy ... -21.6243 eV per atom
E_form ... 0.034 eV/atom
D(E_F) ... 4.17 states/eV per cell

***

3.
Compound: Sr2Hg
Source: the Alexandria database
Functional: meta-GGA SCAN
Structure: single point on PBEsol structure

Geometry as extended XYZ:
```
6
Lattice="6.655 0.019 0.000 -2.675 6.094 0.000 -1.990 -3.057 5.567" Properties=species:S:1:pos:R:3 pbc="T T T"
Hg 0.995 1.528 0.000
Hg 2.986 4.585 0.000
Sr -0.342 4.576 0.782
Sr 2.646 2.630 2.783
Sr 2.333 -1.519 4.784
Sr -0.656 0.427 2.783
```

Computed properties:
Raw total energy ... -38.0527 eV per atom
E_form ... -0.481 eV/atom
D(E_F) ... 5.17 states/eV per cell

***

4.
Compound: YRhNF2
Source: the Alexandria database
Functional: meta-GGA SCAN
Structure: single point on PBEsol structure

Geometry as extended XYZ:
```
5
Lattice="-0.956 0.122 -3.578 -1.404 -4.067 0.237 -3.920 1.416 1.096" Properties=species:S:1:pos:R:3 pbc="T T T"
Y -3.140 -1.265 -1.123
F -1.960 0.708 0.548
F -0.702 -2.034 0.118
Rh 0.000 0.000 0.000
N -0.478 0.061 -1.789
```

Computed properties:
Raw total energy ... -16.7586 eV per atom
Formation energy without anion corrections ... -1161.4 meV per atom
D(E_F) ... 2.45 states/eV per cell

***

Q: What is the raw total energy in the first record?
A: -12.6474 eV per atom

***

Q: What is the D(E_F) in the fourth record?
A: 2.45 states/eV per cell

***

Copy entry 2 word for word.
Compound: MnCo2Rh
Source: the Alexandria database
Functional: meta-GGA SCAN
Structure: single point on PBEsol structure

Geometry as extended XYZ:
```
4
Lattice="-0.770 -2.021 1.311 2.233 -0.320 -1.143 3.766 2.826 6.569" Properties=species:S:1:pos:R:3 pbc="T T T"
Co 3.716 2.789 6.482
Co 3.558 0.950 5.013
Mn 1.926 1.445 3.359
Rh 1.679 -0.459 1.737
```

Computed properties:
Raw total energy ... -21.6243 eV per atom
E_form ... 0.034 eV/atom
D(E_F) ... 4.17 states/eV per cell